Entry 1:
This record from Alexandria via LeMat-Bulk describes Ta6MoOs3 after structural relaxation. The functional is PBE.

Cell and atoms, written as POSCAR:
```
Ta6MoOs3
1.0
4.545 0.000 0.000
0.000 7.536 -2.299
0.000 0.212 9.640
Ta Os Mo
12 6 2
direct
0.250 0.649 0.700
0.750 0.848 0.803
0.250 0.051 0.899
0.750 0.753 0.501
0.750 0.549 0.900
0.250 0.852 0.302
0.750 0.949 0.101
0.250 0.451 0.100
0.750 0.351 0.300
0.750 0.148 0.698
0.250 0.247 0.499
0.250 0.152 0.197
0.750 0.449 0.600
0.750 0.647 0.200
0.750 0.255 0.997
0.250 0.745 0.003
0.250 0.551 0.400
0.250 0.353 0.800
0.250 0.951 0.602
0.750 0.049 0.398
```

Calculated values
- SG = P2_1/m
- spin magnetization (μB per formula unit) = 0.00
- calculated formation energy (meV per atom) = -310
- density (g cm⁻³) = 17.5
- DOS at the Fermi energy (states/eV per atom) = 0.359
- crystal system = monoclinic



Entry 2:
This record from Alexandria via LeMat-Bulk describes Ta12Mo6Os after structural relaxation. The functional is PBE.

Cell and atoms, written as POSCAR:
```
Ta12Mo6Os
1.0
-7.649 -0.571 0.795
3.119 -6.920 -1.361
3.154 3.225 6.254
Ta Mo Os
12 6 1
direct
0.289 0.947 0.842
0.053 0.158 0.711
0.711 0.053 0.158
0.446 0.185 0.320
0.185 0.320 0.446
0.680 0.554 0.815
0.320 0.446 0.185
0.158 0.711 0.053
0.554 0.815 0.680
0.842 0.289 0.947
0.947 0.842 0.289
0.815 0.680 0.554
0.391 0.600 0.896
0.104 0.609 0.400
0.600 0.896 0.391
0.896 0.391 0.600
0.609 0.400 0.104
0.400 0.104 0.609
0.000 0.000 0.000
```

Calculated values
- SG = R-3
- spin magnetization (μB per formula unit) = 0.00
- calculated formation energy (meV per atom) = 194
- density (g cm⁻³) = 14.5
- DOS at the Fermi energy (states/eV per atom) = 1.055
- crystal system = trigonal



Entry 3:
This record from Alexandria via LeMat-Bulk describes TaMo2Os after structural relaxation. The functional is PBE.

Cell and atoms, written as POSCAR:
```
TaMo2Os
1.0
-4.792 -2.043 0.389
3.438 -1.355 3.708
-1.019 1.449 2.147
Mo Os Ta
2 1 1
direct
0.000 0.000 0.000
0.500 0.000 0.500
0.000 0.500 0.500
0.500 0.500 0.000
```

Calculated values
- SG = C2/m
- energy above the lowest structure with this stoichiometry (meV per atom) = 64
- spin magnetization (μB per formula unit) = 0.00
- calculated formation energy (meV per atom) = -41
- density (g cm⁻³) = 14.6
- DOS at the Fermi energy (states/eV per atom) = 0.746
- crystal system = monoclinic



Entry 4:
This record from Alexandria via LeMat-Bulk describes TaMo2Os after structural relaxation. The functional is PBE.

Cell and atoms, written as POSCAR:
```
TaMo2Os
1.0
2.780 0.000 0.000
0.000 2.780 0.000
0.000 0.000 8.422
Os Ta Mo
1 1 2
direct
0.000 0.000 0.489
0.500 0.500 0.733
0.000 0.000 0.007
0.500 0.500 0.271
```

Calculated values
- SG = P4mm
- energy above the lowest structure with this stoichiometry (meV per atom) = 199
- spin magnetization (μB per formula unit) = 0.00
- calculated formation energy (meV per atom) = 94
- density (g cm⁻³) = 14.4
- DOS at the Fermi energy (states/eV per atom) = 1.088
- crystal system = tetragonal



Entry 5:
This record from Alexandria via LeMat-Bulk describes Ta4MoOs after structural relaxation. The functional is PBE.

Cell and atoms, written as POSCAR:
```
Ta4MoOs
1.0
-2.632 -4.325 -1.647
-3.823 -2.110 3.046
-5.100 0.390 -1.478
Os Mo Ta
1 1 4
direct
0.000 0.000 0.000
0.750 0.750 0.750
0.875 0.375 0.375
0.375 0.875 0.375
0.375 0.375 0.375
0.375 0.375 0.875
```

Calculated values
- SG = F-43m
- energy above the lowest structure with this stoichiometry (meV per atom) = 743
- spin magnetization (μB per formula unit) = 0.00
- calculated formation energy (meV per atom) = 477
- density (g cm⁻³) = 15.7
- DOS at the Fermi energy (states/eV per atom) = 1.384
- crystal system = cubic



Entry 6:
This record from Alexandria via LeMat-Bulk describes TaMo2Os after structural relaxation. The functional is PBE.

Cell and atoms, written as POSCAR:
```
TaMo2Os
1.0
7.327 0.000 0.000
0.000 7.327 0.000
3.663 3.663 2.610
Os Mo Ta
2 4 2
direct
0.750 0.250 0.500
0.000 0.000 0.000
0.103 0.625 0.250
0.375 0.353 0.750
0.875 0.897 0.750
0.647 0.125 0.250
0.500 0.500 0.000
0.250 0.750 0.500
```

Calculated values
- SG = I-42d
- energy above the lowest structure with this stoichiometry (meV per atom) = 764
- spin magnetization (μB per formula unit) = 0.00
- calculated formation energy (meV per atom) = 659
- density (g cm⁻³) = 13.3
- DOS at the Fermi energy (states/eV per atom) = 0.850
- crystal system = tetragonal



Number 1: raw total energy -118.74 eV per formula unit. Number 2: raw total energy -214.77 eV per formula unit. Number 3: raw total energy -44.91 eV per formula unit. Number 4: raw total energy -44.37 eV per formula unit. Number 5: raw total energy -66.61 eV per formula unit. Number 6: raw total energy -42.11 eV per formula unit.